LaBeO3: relaxed, PBE.

Properties
The value obtained for the spin magnetization is 0.000 μB per cell. The electronic total energy comes out at -5.350 eV/atom. As for the density: 3.84 g/cm3.

The structure in CIF format:
```
data_LaBeO3
_cell_length_a 4.392
_cell_length_b 4.392
_cell_length_c 4.392
_cell_angle_alpha 90.00
_cell_angle_beta 90.00
_cell_angle_gamma 90.00
_symmetry_space_group_name_H-M 'P m -3 m'
_symmetry_Int_Tables_number 221
_symmetry_space_group_name_Hall '-P 4 2 3'
loop_
_atom_site_label
_atom_site_fract_x
_atom_site_fract_y
_atom_site_fract_z
La1 0.000 0.000 0.000
Be1 0.500 0.500 0.500
O1 0.000 0.000 0.500
```